First-principles (PBEsol) data for GaSbCl2 after structural relaxation, as listed in Alexandria via LeMat-Bulk.

Calculated values
For the volume, the calculation gives 24.5 A^3/atom. As for the size of the total moment: 0.000 μB per formula unit. The value obtained for the relative energy among the computed polymorphs is 0 meV/atom. As for the total energy: -40.98 eV for the cell shown. As for the uncorrected formation energy: -0.437 eV/atom.

a = 3.4903 Å, b = 3.4903 Å, c = 27.8963 Å
α = 90.00°, β = 90.00°, γ = 120.00°
Last column: nearest neighbours and their distance in Å.
Space group R-3m (No. 166, hexagonal axes)
Symmetry-distinct sites (fractional):
Ga1 0.0000 0.0000 0.0000  6 Cl 2.86
Sb1 0.0000 0.0000 0.5000  2 Cl 2.62
Cl1 0.0000 0.0000 0.4062  1 Sb 2.62, 3 Ga 2.86

***

First-principles (PBEsol) data for GaSe3Cl after structural relaxation, as listed in Alexandria via LeMat-Bulk.

Calculated values
For the volume, the calculation gives 23.4 A^3/atom. As for the size of the total moment: 0.000 μB per formula unit. As for the total energy: -14.78 eV for the cell shown. As for the uncorrected formation energy: 0.423 eV/atom.

a = 4.8919 Å, b = 4.8919 Å, c = 4.8919 Å
α = 90.00°, β = 90.00°, γ = 90.00°
Last column: nearest neighbours and their distance in Å.
Space group Pm-3m (No. 221)
Symmetry-distinct sites (fractional):
Ga1 0.0000 0.0000 0.0000  6 Se 2.45
Se1 0.0000 0.0000 0.5000  2 Ga 2.45
Cl1 0.5000 0.5000 0.5000  12 Se 3.46

***

First-principles (PBEsol) data for Sr2GaTeCl after structural relaxation, as listed in Alexandria via LeMat-Bulk.

Calculated values
For the volume, the calculation gives 41.9 A^3/atom. As for the size of the total moment: 0.655 μB per formula unit. As for the total energy: -14.12 eV for the cell shown. As for the uncorrected formation energy: -0.313 eV/atom.

a = 6.2491 Å, b = 6.2491 Å, c = 5.3627 Å
α = 90.00°, β = 90.00°, γ = 90.00°
Last column: nearest neighbours and their distance in Å.
Space group P4/mmm (No. 123)
Symmetry-distinct sites (fractional):
Sr1 0.0000 0.5000 0.0000  2 Te 3.12
Ga1 0.0000 0.0000 0.5000  8 Sr 4.12, 4 Cl 4.42
Te1 0.5000 0.5000 0.0000  2 Cl 2.68
Cl1 0.5000 0.5000 0.5000  2 Te 2.68

***

First-principles (PBEsol) data for Ga2TcCl after structural relaxation, as listed in Alexandria via LeMat-Bulk.

Calculated values
For the volume, the calculation gives 17.0 A^3/atom. As for the size of the total moment: 1.922 μB per formula unit. As for the total energy: -69.16 eV for the cell shown. As for the uncorrected formation energy: 0.666 eV/atom.

a = 6.4797 Å, b = 6.4797 Å, c = 6.4797 Å
α = 90.00°, β = 90.00°, γ = 90.00°
Last column: nearest neighbours and their distance in Å.
Space group Fm-3m (No. 225)
Symmetry-distinct sites (fractional):
Ga1 0.2500 0.2500 0.2500  4 Cl 2.81, 4 Tc 2.81
Tc1 0.0000 0.0000 0.0000  8 Ga 2.81
Cl1 0.0000 0.0000 0.5000  8 Ga 2.81

***

First-principles (PBEsol) data for GaTe2Cl after structural relaxation, as listed in Alexandria via LeMat-Bulk.

Calculated values
For the volume, the calculation gives 22.3 A^3/atom. As for the size of the total moment: 0.000 μB per formula unit. As for the total energy: -48.40 eV for the cell shown. As for the uncorrected formation energy: 0.075 eV/atom.

a = 7.0942 Å, b = 7.0942 Å, c = 7.0942 Å
α = 90.00°, β = 90.00°, γ = 90.00°
Last column: nearest neighbours and their distance in Å.
Space group Fm-3m (No. 225)
Symmetry-distinct sites (fractional):
Ga1 0.0000 0.0000 0.0000  8 Te 3.07
Te1 0.2500 0.2500 0.2500  4 Cl 3.07, 4 Ga 3.07
Cl1 0.0000 0.0000 0.5000  8 Te 3.07

***

First-principles (PBEsol) data for GaTeCl after structural relaxation, as listed in Alexandria via LeMat-Bulk.

Calculated values
For the volume, the calculation gives 28.6 A^3/atom. As for the size of the total moment: 0.000 μB per formula unit. As for the total energy: -43.63 eV for the cell shown. As for the uncorrected formation energy: -0.678 eV/atom.

a = 5.8049 Å, b = 14.5041 Å, c = 4.0752 Å
α = 90.00°, β = 90.00°, γ = 90.00°
Last column: nearest neighbours and their distance in Å.
Space group Pnnm (No. 58)
Symmetry-distinct sites (fractional):
Ga1 0.0191 0.1881 0.0000  1 Cl 2.19
Te1 0.2411 0.3461 0.0000  3 Ga 2.63-2.65
Cl1 0.2319 0.5747 0.5000  1 Ga 2.19

***

First-principles (PBEsol) data for Ga3TeCl after structural relaxation, as listed in Alexandria via LeMat-Bulk.

Calculated values
For the volume, the calculation gives 39.6 A^3/atom. As for the size of the total moment: 0.000 μB per formula unit. As for the total energy: -13.53 eV for the cell shown. As for the uncorrected formation energy: 0.404 eV/atom.

a = 5.8306 Å, b = 5.8306 Å, c = 5.8306 Å
α = 90.00°, β = 90.00°, γ = 90.00°
Last column: nearest neighbours and their distance in Å.
Space group Pm-3m (No. 221)
Symmetry-distinct sites (fractional):
Ga1 0.0000 0.0000 0.5000  2 Te 2.92
Te1 0.0000 0.0000 0.0000  6 Ga 2.92
Cl1 0.5000 0.5000 0.5000  12 Ga 4.12

***

First-principles (PBEsol) data for TiGaCl3 after structural relaxation, as listed in Alexandria via LeMat-Bulk.

Calculated values
For the volume, the calculation gives 24.0 A^3/atom. As for the size of the total moment: 2.765 μB per formula unit. As for the total energy: -18.41 eV for the cell shown. As for the uncorrected formation energy: -0.145 eV/atom.

a = 4.9309 Å, b = 4.9309 Å, c = 4.9309 Å
α = 90.00°, β = 90.00°, γ = 90.00°
Last column: nearest neighbours and their distance in Å.
Space group Pm-3m (No. 221)
Symmetry-distinct sites (fractional):
Ti1 0.0000 0.0000 0.0000  12 Cl 3.49
Ga1 0.5000 0.5000 0.5000  6 Cl 2.47
Cl1 0.0000 0.5000 0.5000  2 Ga 2.47

***

First-principles (PBEsol) data for ZrGa3Cl after structural relaxation, as listed in Alexandria via LeMat-Bulk.

Calculated values
For the volume, the calculation gives 29.7 A^3/atom. As for the size of the total moment: 2.123 μB per formula unit. The value obtained for the relative energy among the computed polymorphs is 171 meV/atom. As for the total energy: -18.14 eV for the cell shown. As for the uncorrected formation energy: 0.595 eV/atom.

a = 5.2955 Å, b = 5.2955 Å, c = 5.2955 Å
α = 90.00°, β = 90.00°, γ = 90.00°
Last column: nearest neighbours and their distance in Å.
Space group Pm-3m (No. 221)
Symmetry-distinct sites (fractional):
Zr1 0.0000 0.0000 0.0000  6 Ga 2.65
Ga1 0.0000 0.0000 0.5000  2 Zr 2.65
Cl1 0.5000 0.5000 0.5000  12 Ga 3.74

***

First-principles (PBEsol) data for ZrGa3Cl after structural relaxation, as listed in Alexandria via LeMat-Bulk.

Calculated values
For the volume, the calculation gives 21.2 A^3/atom. As for the size of the total moment: 0.000 μB per formula unit. The value obtained for the relative energy among the computed polymorphs is 0 meV/atom. As for the total energy: -19.00 eV for the cell shown. As for the uncorrected formation energy: 0.424 eV/atom.

a = 4.7340 Å, b = 4.7340 Å, c = 4.7340 Å
α = 90.00°, β = 90.00°, γ = 90.00°
Last column: nearest neighbours and their distance in Å.
Space group Pm-3m (No. 221)
Symmetry-distinct sites (fractional):
Zr1 0.0000 0.0000 0.0000  12 Ga 3.35
Ga1 0.0000 0.5000 0.5000  2 Cl 2.37
Cl1 0.5000 0.5000 0.5000  6 Ga 2.37

***

First-principles (PBEsol) data for GdH2ClO2 after structural relaxation, as listed in Alexandria via LeMat-Bulk.

Calculated values
For the volume, the calculation gives 11.7 A^3/atom. As for the size of the total moment: 6.995 μB per formula unit. As for the total energy: -92.37 eV for the cell shown.

a = 6.1320 Å, b = 3.6957 Å, c = 6.5851 Å
α = 90.00°, β = 109.57°, γ = 90.00°
Last column: nearest neighbours and their distance in Å.
Space group P2_1/m (No. 11)
Symmetry-distinct sites (fractional):
Gd1 0.2033 0.2500 0.3772  6 O 2.34-2.41
H1 0.1688 0.2500 0.8126  1 O 0.98
H2 0.3797 0.7500 0.7327  1 O 0.98
Cl1 0.2578 0.7500 0.0588  3 H 2.40-2.50
O1 0.0592 0.2500 0.6641  1 H 0.98
O2 0.3988 0.7500 0.5903  1 H 0.98

***

First-principles (PBEsol) data for K3GdCl6 after structural relaxation, as listed in Alexandria via LeMat-Bulk.

Calculated values
For the volume, the calculation gives 33.8 A^3/atom. As for the size of the total moment: 7.048 μB per formula unit. As for the total energy: -200.56 eV for the cell shown. As for the uncorrected formation energy: -2.024 eV/atom.

a = 11.0570 Å, b = 11.0570 Å, c = 11.0570 Å
α = 90.00°, β = 90.00°, γ = 90.00°
Last column: nearest neighbours and their distance in Å.
Space group Fm-3m (No. 225)
Symmetry-distinct sites (fractional):
K1 0.0000 0.0000 0.0000  6 Cl 2.90
K2 0.2500 0.2500 0.2500  12 Cl 3.91
Gd1 0.0000 0.0000 0.5000  6 Cl 2.62
Cl1 0.0000 0.0000 0.2627  1 Gd 2.62, 1 K 2.90

***

First-principles (PBEsol) data for LaGd3Cl4O4 after structural relaxation, as listed in Alexandria via LeMat-Bulk.

Calculated values
For the volume, the calculation gives 17.4 A^3/atom. As for the size of the total moment: 20.979 μB per formula unit. As for the total energy: -230.40 eV for the cell shown. As for the uncorrected formation energy: -3.123 eV/atom.

a = 3.9423 Å, b = 7.8810 Å, c = 13.4310 Å
α = 90.00°, β = 90.00°, γ = 90.00°
Last column: nearest neighbours and their distance in Å.
Space group Amm2 (No. 38)
Symmetry-distinct sites (fractional):
La1 0.0000 0.0000 0.0000  4 O 2.34-2.36
Gd1 0.0000 0.0000 0.5076  4 O 2.25-2.27
Gd2 0.5000 0.2502 0.1774  4 O 2.27-2.28
Cl1 0.0000 0.0000 0.2761  5 Gd 3.09-3.11, 4 O 3.14-3.17, 4 Cl 3.25
Cl2 0.0000 0.0000 0.7749  1 La 3.02, 4 Gd 3.08, 4 O 3.12-3.15, 4 Cl 3.32
Cl3 0.5000 0.2433 0.4045  3 Gd 3.05-3.08, 2 La 3.10, 4 O 3.17-3.25, 4 Cl 3.25-3.32
O1 0.0000 0.2456 0.5931  3 Gd 2.25-2.27, 1 La 2.36
O2 0.5000 0.0000 0.0941  2 Gd 2.27, 2 La 2.34
O3 0.5000 0.0000 0.5920  4 Gd 2.27-2.28